KTl2IrCl8 | PBE | optimized geometry

Calculated values
DOS at the Fermi energy   0.514 states/eV per atom
Uncorrected formation energy   -0.871 eV per atom
Raw total energy   -39.91 eV per cell

Cell lengths 6.135, 7.658, 8.863 Å; angles 89.97, 90.02, 117.36 degrees
Fractional positions:
K 0.000 0.000 0.500
Tl 0.500 0.500 0.751
Tl 0.500 0.500 0.249
Ir 0.000 0.000 0.000
Cl 0.027 0.793 0.187
Cl 0.577 0.809 0.000
Cl 0.973 0.207 0.187
Cl 0.973 0.207 0.813
Cl 0.423 0.191 0.000
Cl 0.027 0.793 0.813
Cl 0.427 0.702 0.500
Cl 0.573 0.298 0.500

Tm5MgPt6 | PBE | optimized geometry

Calculated values
DOS at the Fermi energy   0.437 states/eV per atom
Raw total energy   -74.83 eV per cell

Cell lengths 4.826, 8.360, 8.360 Å; angles 119.85, 106.88, 106.88 degrees
Fractional positions:
Mg 0.000 0.000 0.000
Tm 0.500 0.159 0.841
Tm 0.000 0.332 0.668
Tm 0.500 0.500 0.500
Tm 0.000 0.668 0.332
Tm 0.500 0.841 0.159
Pt 0.252 0.084 0.420
Pt 0.748 0.580 0.916
Pt 0.757 0.258 0.258
Pt 0.243 0.742 0.742
Pt 0.252 0.420 0.084
Pt 0.748 0.916 0.580

Tb3Ga8Ni3 | PBE | optimized geometry

Calculated values
DOS at the Fermi energy   0.478 states/eV per atom
Raw total energy   -63.36 eV per cell

Cell lengths 4.288, 8.028, 8.106 Å; angles 67.04, 74.66, 74.51 degrees
Fractional positions:
Tb 0.289 0.714 0.707
Tb 0.711 0.286 0.293
Tb 0.000 0.000 0.000
Ga 0.136 0.156 0.572
Ga 0.864 0.844 0.428
Ga 0.847 0.431 0.874
Ga 0.153 0.569 0.126
Ga 0.508 0.665 0.320
Ga 0.492 0.335 0.680
Ga 0.349 0.029 0.272
Ga 0.651 0.971 0.728
Ni 0.000 0.500 0.500
Ni 0.651 0.701 0.996
Ni 0.349 0.299 0.004

MgReBi3 | PBE | optimized geometry

Calculated values
DOS at the Fermi energy   0.348 states/eV per atom
Relative energy among the computed polymorphs   0.00 kcal/mol of atoms
Raw total energy   -21.95 eV per cell

Cell lengths 5.387, 5.387, 5.387 Å; angles 90.00, 90.00, 90.00 degrees
Fractional positions:
Re 0.000 0.000 0.000
Mg 0.500 0.500 0.500
Bi 0.000 0.500 0.000
Bi 0.000 0.000 0.500
Bi 0.500 0.000 0.000

V2Hg2B | PBE | optimized geometry

Calculated values
DOS at the Fermi energy   0.617 states/eV per atom
Relative energy among the computed polymorphs   0.00 kcal/mol of atoms
Raw total energy   -40.71 eV per cell

Cell lengths 6.261, 6.261, 4.419 Å; angles 90.00, 90.00, 90.00 degrees
Fractional positions:
B 0.000 0.000 0.000
B 0.500 0.500 0.000
Hg 0.316 0.816 0.000
Hg 0.816 0.684 0.000
Hg 0.684 0.184 0.000
Hg 0.184 0.316 0.000
V 0.109 0.609 0.500
V 0.609 0.891 0.500
V 0.891 0.391 0.500
V 0.391 0.109 0.500

PmTaAl2 | PBE | optimized geometry

Calculated values
DOS at the Fermi energy   0.810 states/eV per atom
Relative energy among the computed polymorphs   4.27 kcal/mol of atoms
Raw total energy   -23.89 eV per cell

Cell lengths 3.072, 3.072, 10.225 Å; angles 81.36, 81.36, 60.00 degrees
Fractional positions:
Pm 0.500 0.500 0.500
Al 0.741 0.741 0.778
Al 0.259 0.259 0.222
Ta 0.000 0.000 0.000

Pm3Nd5Y3 | PBE | optimized geometry

Calculated values
DOS at the Fermi energy   1.563 states/eV per atom
Relative energy among the computed polymorphs   10.08 kcal/mol of atoms
Raw total energy   -49.16 eV per cell

Cell lengths 5.579, 9.790, 9.790 Å; angles 120.00, 90.00, 90.00 degrees
Fractional positions:
Pm 0.500 0.641 0.641
Pm 0.500 0.000 0.359
Pm 0.500 0.359 0.000
Nd 0.500 0.333 0.667
Nd 0.500 0.667 0.333
Nd 0.500 0.269 0.269
Nd 0.500 0.000 0.731
Nd 0.500 0.731 0.000
Y 0.000 0.463 0.463
Y 0.000 0.537 0.000
Y 0.000 0.000 0.537

KRb3Zn2F9 | PBE | optimized geometry

Calculated values
DOS at the Fermi energy   0.366 states/eV per atom
Uncorrected formation energy   -2.447 eV per atom
Raw total energy   -60.09 eV per cell

Cell lengths 6.119, 6.119, 7.811 Å; angles 90.00, 90.00, 120.00 degrees
Site moments in Bohr magnetons follow the coordinates.
Fractional positions:
K 0.000 0.000 0.500  0.01
Rb 0.333 0.667 0.674  0.00
Rb 0.000 0.000 0.000  0.00
Rb 0.667 0.333 0.326  0.00
Zn 0.333 0.667 0.149  0.14
Zn 0.667 0.333 0.851  0.14
F 0.819 0.181 0.708  0.08
F 0.819 0.639 0.708  0.08
F 0.361 0.181 0.708  0.08
F 0.639 0.819 0.292  0.08
F 0.181 0.361 0.292  0.08
F 0.181 0.819 0.292  0.08
F 0.500 0.000 0.000  0.08
F 0.000 0.500 0.000  0.08
F 0.500 0.500 0.000  0.08

K2Hg3I8 | PBE | optimized geometry

Calculated values
DOS at the Fermi energy   0.000 states/eV per atom
Uncorrected formation energy   -0.629 eV per atom
Raw total energy   -47.34 eV per cell

Cell lengths 8.469, 10.936, 17.516 Å; angles 96.96, 90.00, 112.78 degrees
Fractional positions:
K 0.099 0.433 0.858
K 0.666 0.567 0.642
K 0.901 0.567 0.142
K 0.334 0.433 0.358
Hg 0.060 0.000 0.250
Hg 0.940 0.000 0.750
Hg 0.115 0.391 0.632
Hg 0.724 0.609 0.868
Hg 0.885 0.609 0.368
Hg 0.276 0.391 0.132
I 0.298 0.588 0.046
I 0.710 0.412 0.454
I 0.702 0.412 0.954
I 0.290 0.588 0.546
I 0.502 0.291 0.182
I 0.211 0.709 0.318
I 0.498 0.709 0.818
I 0.789 0.291 0.682
I 0.967 0.279 0.207
I 0.687 0.721 0.293
I 0.966 0.095 0.898
I 0.871 0.905 0.602
I 0.034 0.905 0.102
I 0.129 0.095 0.398
I 0.313 0.279 0.707
I 0.033 0.721 0.793

Mn4Co7As6 | PBE | optimized geometry

Calculated values
DOS at the Fermi energy   0.593 states/eV per atom
Raw total energy   -117.80 eV per cell

Cell lengths 6.626, 6.626, 6.626 Å; angles 109.47, 109.47, 109.47 degrees
Site moments in Bohr magnetons follow the coordinates.
Fractional positions:
Mn 0.500 0.000 0.000  3.68
Mn 0.500 0.500 0.500  3.68
Mn 0.000 0.500 0.000  3.68
Mn 0.000 0.000 0.500  3.68
Co 0.750 0.500 0.250  0.49
Co 0.250 0.750 0.500  0.49
Co 0.500 0.750 0.250  0.49
Co 0.750 0.250 0.500  0.49
Co 0.250 0.500 0.750  0.49
Co 0.500 0.250 0.750  0.49
Co 0.000 0.000 0.000  0.24
As 0.688 0.000 0.688  -0.04
As 0.688 0.688 0.000  -0.04
As 0.000 0.312 0.312  -0.04
As 0.312 0.000 0.312  -0.04
As 0.312 0.312 0.000  -0.04
As 0.000 0.688 0.688  -0.04

SmY2Ho7 | PBE | optimized geometry

Calculated values
DOS at the Fermi energy   1.442 states/eV per atom
Relative energy among the computed polymorphs   0.00 kcal/mol of atoms
Raw total energy   -49.48 eV per cell

Cell lengths 6.132, 7.932, 11.215 Å; angles 135.09, 123.20, 58.97 degrees
Fractional positions:
Sm 0.000 0.000 0.000
Y 0.499 0.899 0.600
Y 0.501 0.101 0.400
Ho 0.000 0.600 0.400
Ho 0.000 0.400 0.600
Ho 0.499 0.700 0.801
Ho 0.501 0.300 0.199
Ho 0.000 0.799 0.200
Ho 0.000 0.201 0.800
Ho 0.500 0.500 0.000

K2CaAg | PBE | optimized geometry

Calculated values
DOS at the Fermi energy   0.739 states/eV per atom
Relative energy among the computed polymorphs   0.57 kcal/mol of atoms
Raw total energy   -7.01 eV per cell

Cell lengths 10.435, 10.435, 4.770 Å; angles 76.93, 76.93, 21.97 degrees
Fractional positions:
Ag 0.250 0.250 0.250
Ca 0.750 0.750 0.750
K 0.909 0.909 0.092
K 0.591 0.591 0.408

Number 1: total magnetic moment 0.000 μB/atom. Number 2: total magnetic moment 0.000 μB/atom. Number 3: total magnetic moment 0.000 μB/atom. Number 4: total magnetic moment 0.000 μB/atom. Number 5: total magnetic moment 0.000 μB/atom. Number 6: total magnetic moment 0.000 μB/atom. Number 7: total magnetic moment 0.000 μB/atom. Number 8: total magnetic moment 0.070 μB/atom. Number 9: total magnetic moment 0.000 μB/atom. Number 10: total magnetic moment 1.064 μB/atom. Number 11: total magnetic moment 0.000 μB/atom. Number 12: total magnetic moment 0.000 μB/atom.